1.
Sm12Tm6Cd | PBE | optimized geometry

Cell lengths 12.9600, 12.9600, 12.8748 Å; angles 90.00, 90.00, 120.00 degrees
With the nearest neighbours (Å) after each atom.
Space group R-3m (No. 166, hexagonal axes)
Inequivalent atoms, fractional coordinates:
Sm: 0.0000 0.2598 0.0000 x18  4 Tm 3.35-3.49, 1 Cd 3.37, 6 Sm 3.37-3.66
Sm: 0.0605 0.5302 0.1099 x18  5 Sm 3.14-3.49
Tm: 0.0899 0.1798 0.7734 x18  4 Sm 3.35-3.49, 2 Tm 3.50, 1 Cd 3.55
Cd: 0.0000 0.0000 0.0000 x3  6 Sm 3.37, 6 Tm 3.55

Its density of states at the Fermi level is 26.4 states/eV/f.u. Its energy of formation from the pure elements is 120 meV/atom. The final energy is -4.32 eV per atom. For the spin magnetization, the calculation gives 0.000 μB/cell. The value obtained for the energy above the most stable polymorph in this dataset is 0.0190 eV/atom.



2.
CaNiI2 | PBE | optimized geometry

Cell lengths 7.5068, 7.5068, 7.5068 Å; angles 90.00, 90.00, 90.00 degrees
With the nearest neighbours (Å) after each atom.
Space group Fm-3m (No. 225)
Inequivalent atoms, fractional coordinates:
Ca: 0.0000 0.0000 0.0000 x4  8 I 3.25
Ni: 0.0000 0.0000 0.5000 x4  8 I 3.25
I: 0.2500 0.2500 0.2500 x8  4 Ni 3.25, 4 Ca 3.25

Its density of states at the Fermi level is 10.7 states/eV/f.u. The final energy is -2.98 eV per atom. For the spin magnetization, the calculation gives 0.000 μB/cell. The value obtained for the energy above the most stable polymorph in this dataset is 0.2564 eV/atom. Its energy relative to the elements, uncorrected is -0.256 eV per atom.



3.
Mn5Cu4 | PBE | optimized geometry

Cell lengths 7.2613, 7.2613, 5.0413 Å; angles 90.00, 90.00, 120.00 degrees
With the nearest neighbours (Å) after each atom.
Space group P6_3/mcm (No. 193)
Inequivalent atoms, fractional coordinates:
Mn: 0.0000 0.3412 0.2500 x6  5 Cu 2.41-2.52
Mn: 0.3333 0.6667 0.0000 x4  8 Mn 2.52-2.70, 6 Cu 2.75
Cu: 0.0000 0.0000 0.0000 x2  8 Cu 2.52-2.69, 6 Mn 2.78
Cu: 0.0000 0.3266 0.7500 x6  5 Mn 2.41-2.52, 2 Cu 2.69

Its density of states at the Fermi level is 7.1 states/eV/f.u. Its energy of formation from the pure elements is 207 meV/atom. The final energy is -6.71 eV per atom. For the spin magnetization, the calculation gives 10.682 μB/cell. The value obtained for the energy above the most stable polymorph in this dataset is 0.0000 eV/atom.



4.
SrLiZn | PBE | optimized geometry

Cell lengths 7.2718, 7.2718, 7.2718 Å; angles 90.00, 90.00, 90.00 degrees
With the nearest neighbours (Å) after each atom.
Space group F-43m (No. 216)
Inequivalent atoms, fractional coordinates:
Sr: 0.0000 0.0000 0.0000 x4  4 Zn 3.15
Li: 0.0000 0.0000 0.5000 x4  4 Zn 3.15
Zn: 0.2500 0.2500 0.2500 x4  4 Li 3.15, 4 Sr 3.15

Its density of states at the Fermi level is 2.6 states/eV/f.u. Its energy of formation from the pure elements is 37 meV/atom. The final energy is -1.59 eV per atom. For the spin magnetization, the calculation gives 0.000 μB/cell. The value obtained for the energy above the most stable polymorph in this dataset is 0.1581 eV/atom.



5.
AlGa2Ni6 | PBE | optimized geometry

Cell lengths 12.1873, 5.4850, 3.8895 Å; angles 90.00, 108.52, 90.00 degrees
With the nearest neighbours (Å) after each atom.
Space group C2/m (No. 12)
Inequivalent atoms, fractional coordinates:
Al: 0.0000 0.0000 0.0000 x2  8 Ni 2.36-2.37
Ga: 0.1665 0.5000 0.6669 x4  8 Ni 2.37-2.38
Ni: 0.0000 0.2472 0.5000 x4  2 Al 2.37, 2 Ga 2.37
Ni: 0.1663 0.2510 0.1665 x8  1 Al 2.36, 3 Ga 2.37-2.38

Its density of states at the Fermi level is 4.2 states/eV/f.u. Its energy of formation from the pure elements is -75 meV/atom. The final energy is -5.02 eV per atom. For the spin magnetization, the calculation gives 0.000 μB/cell.



6.
FeCo2Mo | PBE | optimized geometry

Cell lengths 4.8869, 6.9880, 7.0229 Å; angles 90.00, 90.00, 90.00 degrees
With the nearest neighbours (Å) after each atom.
Space group Pmma (No. 51)
Inequivalent atoms, fractional coordinates:
Fe: 0.2500 0.0000 0.1875 x2  3 Mo 2.45-2.47, 2 Co 2.51
Fe: 0.2500 0.5000 0.2686 x2  4 Co 2.14-2.25
Co: 0.0000 0.0000 0.5000 x2  6 Co 2.26-2.44, 2 Fe 2.51
Co: 0.0000 0.5000 0.0000 x2  2 Fe 2.25, 2 Co 2.44, 2 Mo 2.48
Co: 0.2500 0.2708 0.4718 x4  1 Fe 2.14, 1 Mo 2.23, 2 Co 2.26
Mo: 0.2500 0.0000 0.8364 x2  3 Fe 2.45-2.47, 2 Co 2.66
Mo: 0.2500 0.5000 0.6935 x2  4 Co 2.23-2.48, 2 Fe 2.46

Its density of states at the Fermi level is 5.2 states/eV/f.u. Its energy of formation from the pure elements is 972 meV/atom. The final energy is -7.40 eV per atom. For the spin magnetization, the calculation gives 6.033 μB/cell. The value obtained for the energy above the most stable polymorph in this dataset is 0.9565 eV/atom.



7.
Zr4CoPd | PBE | optimized geometry

Cell lengths 14.2651, 3.1942, 5.6809 Å; angles 90.00, 112.21, 90.00 degrees
With the nearest neighbours (Å) after each atom.
Space group C2/m (No. 12)
Inequivalent atoms, fractional coordinates:
Zr: 0.1531 0.0000 0.3115 x4  2 Co 2.74, 1 Pd 2.77
Zr: 0.1553 0.5000 0.8328 x4  1 Co 2.72, 2 Pd 2.80
Co: 0.0000 0.5000 0.0000 x2  6 Zr 2.72-2.74
Pd: 0.0000 0.0000 0.5000 x2  6 Zr 2.77-2.80

Its density of states at the Fermi level is 6.3 states/eV/f.u. Its energy of formation from the pure elements is -85 meV/atom. The final energy is -7.83 eV per atom. For the spin magnetization, the calculation gives 0.347 μB/cell. The value obtained for the energy above the most stable polymorph in this dataset is 0.2864 eV/atom.



8.
Cs2PrMg2Se4 | PBE | optimized geometry

Cell lengths 16.5900, 4.3326, 8.6524 Å; angles 90.00, 107.97, 90.00 degrees
With the nearest neighbours (Å) after each atom.
Space group C2/m (No. 12)
Inequivalent atoms, fractional coordinates:
Cs: 0.1269 0.0000 0.0384 x4  7 Se 3.68-3.89, 1 Cs 4.05
Pr: 0.0000 0.0000 0.5000 x2  6 Se 3.07-3.20
Mg: 0.1717 0.5000 0.4757 x4  4 Se 2.55-2.69
Se: 0.0247 0.5000 0.2670 x4  1 Mg 2.55
Se: 0.2015 0.0000 0.6570 x4  3 Mg 2.63-2.69

Its density of states at the Fermi level is 3.6 states/eV/f.u. The final energy is -3.95 eV per atom. For the spin magnetization, the calculation gives 1.397 μB/cell. Its energy relative to the elements, uncorrected is -1.328 eV per atom.



9.
KBC | PBE | optimized geometry

Cell lengths 14.0336, 4.9869, 3.1293 Å; angles 90.00, 97.64, 90.00 degrees
With the nearest neighbours (Å) after each atom.
Space group Cm (No. 8)
Inequivalent atoms, fractional coordinates:
K: 0.0000 0.0000 0.0000 x2  4 C 2.78-3.09
K: 0.2062 0.5000 0.1665 x2  4 C 2.95-3.03, 4 B 2.97-3.16, 2 K 3.13
B: 0.2655 0.0000 0.7615 x2  1 C 1.39
B: 0.3676 0.0000 0.5094 x2  2 C 1.56-1.57, 1 B 1.73
C: 0.1675 0.0000 0.6180 x2  1 B 1.39
C: 0.3708 0.0000 0.0105 x2  3 B 1.56-1.58

Its density of states at the Fermi level is 0.0 states/eV/f.u. Its energy of formation from the pure elements is 611 meV/atom. The final energy is -5.06 eV per atom. For the spin magnetization, the calculation gives 0.000 μB/cell.



10.
Ce3Er3TmSe8 | PBE | optimized geometry

Cell lengths 8.1577, 8.1577, 20.4423 Å; angles 90.00, 90.00, 120.00 degrees
With the nearest neighbours (Å) after each atom.
Space group R-3m (No. 166, hexagonal axes)
Inequivalent atoms, fractional coordinates:
Ce: 0.0000 0.5000 0.0000 x9  6 Se 2.97
Er: 0.0000 0.5000 0.5000 x9  6 Se 2.85
Tm: 0.0000 0.0000 0.5000 x3  6 Se 2.88
Se: 0.0000 0.0000 0.2450 x6  3 Er 2.85, 3 Ce 2.97
Se: 0.0039 0.5020 0.7541 x18  2 Er 2.85, 1 Tm 2.88, 2 Ce 2.97

Its density of states at the Fermi level is 20.3 states/eV/f.u. The final energy is -6.08 eV per atom. For the spin magnetization, the calculation gives 11.557 μB/cell. Its energy relative to the elements, uncorrected is -1.821 eV per atom.



11.
CrAs2Se | PBE | optimized geometry

Cell lengths 3.7095, 3.7095, 5.8400 Å; angles 90.00, 90.00, 90.00 degrees
With the nearest neighbours (Å) after each atom.
Space group P4/mmm (No. 123)
Inequivalent atoms, fractional coordinates:
Cr: 0.0000 0.0000 0.0000 x1  4 Se 2.62
As: 0.0000 0.5000 0.5000 x2  4 As 2.62
Se: 0.5000 0.5000 0.0000 x1  4 Cr 2.62

Its density of states at the Fermi level is 2.5 states/eV/f.u. The final energy is -5.32 eV per atom. For the spin magnetization, the calculation gives 3.336 μB/cell. Its energy relative to the elements, uncorrected is 0.278 eV per atom.



12.
TlIn16Sn12 | PBE | optimized geometry

Cell lengths 11.9257, 16.7370, 9.7494 Å; angles 90.00, 122.22, 90.00 degrees
With the nearest neighbours (Å) after each atom.
Space group Cm (No. 8)
Inequivalent atoms, fractional coordinates:
Tl: 0.0000 0.0000 0.0000 x2  5 Sn 3.38-3.58, 7 In 3.42-3.63
In: 0.1287 0.2925 0.3955 x4  5 Sn 3.16-3.45, 3 In 3.31-3.46
In: 0.2148 0.5000 0.4146 x2  5 Sn 3.14-3.36, 1 In 3.28
In: 0.2311 0.5000 0.0383 x2  3 In 3.28-3.47, 1 Tl 3.42, 6 Sn 3.42-3.60
In: 0.2411 0.1762 0.7181 x4  4 In 3.31-3.58, 6 Sn 3.34-3.70
In: 0.2529 0.1517 0.1136 x4  5 Sn 3.15-3.39, 1 In 3.33
In: 0.3484 0.3466 0.2855 x4  4 Sn 3.21-3.46, 6 In 3.24-3.59
In: 0.4074 0.0000 0.7081 x2  9 Sn 3.44-3.79, 4 In 3.46-3.58
In: 0.4184 0.0000 0.3602 x2  4 In 3.28-3.46, 6 Sn 3.54-3.59
In: 0.4279 0.3008 0.0251 x4  5 In 3.24-3.58, 5 Sn 3.35-3.48, 1 Tl 3.48
In: 0.4549 0.3625 0.7003 x4  5 Sn 3.20-3.50, 4 In 3.39-3.57, 1 Tl 3.53
Sn: 0.0101 0.0000 0.5040 x2  3 Sn 3.11-3.21, 5 In 3.14-3.28
Sn: 0.0994 0.3023 0.9015 x4  3 Sn 3.12-3.21, 5 In 3.15-3.43
Sn: 0.1559 0.0984 0.3598 x4  3 Sn 3.11-3.29, 5 In 3.30-3.46, 1 Tl 3.39
Sn: 0.1954 0.4057 0.7055 x4  3 Sn 3.16-3.23, 5 In 3.20-3.42
Sn: 0.2160 0.0000 0.8752 x2  3 Sn 3.11-3.29, 5 In 3.31-3.44, 1 Tl 3.38
Sn: 0.4206 0.1934 0.5154 x4  3 Sn 3.11-3.23, 5 In 3.21-3.45
Sn: 0.4981 0.0973 0.0841 x4  3 Sn 3.12-3.29, 6 In 3.16-3.49

Its density of states at the Fermi level is 12.7 states/eV/f.u. Its energy of formation from the pure elements is 37 meV/atom. The final energy is -3.21 eV per atom. For the spin magnetization, the calculation gives 0.000 μB/cell.